# 1
Computed, not measured: a geometry-optimized CaLaRh structure at the PBE-GGA level of DFT.

Values from the calculation:
The value obtained for the distance to the lowest polymorph of the same formula is 696 meV per atom. The value obtained for the spin magnetization is 0.00 μB/f.u. The value obtained for the formation energy from the elements is 0.235 eV/atom. The value obtained for the total energy is -4.5251 eV/atom. The value obtained for the volume is 80.49 Å³ per cell. The theoretical density is 5.816 g cm⁻³.

Unit cell a=4.8464 b=4.8464 c=4.8464 alpha=60.00 beta=60.00 gamma=60.00
Element x y z (fractional)
1 Rh 0.0000 0.0000 0.0000
2 Ca 0.5000 0.5000 0.5000
3 La 0.7500 0.7500 0.7500

# 2
Computed, not measured: a geometry-optimized Ca2LaRh2 structure at the PBE-GGA level of DFT.

Values from the calculation:
The value obtained for the distance to the lowest polymorph of the same formula is 105 meV per atom. The value obtained for the spin magnetization is 0.00 μB/f.u. The value obtained for the formation energy from the elements is -0.388 eV/atom. The value obtained for the total energy is -5.1145 eV/atom. The value obtained for the volume is 240.15 Å³ per cell. The theoretical density is 5.876 g cm⁻³.

Unit cell a=8.0800 b=8.0800 c=3.6784 alpha=90.00 beta=90.00 gamma=90.00
Element x y z (fractional)
1 Ca 0.1375 0.6375 0.5000
2 Ca 0.8625 0.3625 0.5000
3 Ca 0.6375 0.8625 0.5000
4 Ca 0.3625 0.1375 0.5000
5 Rh 0.6670 0.1670 0.0000
6 Rh 0.8330 0.6670 0.0000
7 Rh 0.3330 0.8330 0.0000
8 Rh 0.1670 0.3330 0.0000
9 La 0.0000 0.0000 0.0000
10 La 0.5000 0.5000 0.0000

# 3
Computed, not measured: a geometry-optimized CaLaRh structure at the PBE-GGA level of DFT.

Values from the calculation:
The value obtained for the distance to the lowest polymorph of the same formula is 0 meV per atom. The value obtained for the spin magnetization is 0.00 μB/f.u. The value obtained for the formation energy from the elements is -0.461 eV/atom. The value obtained for the total energy is -5.2208 eV/atom. The value obtained for the volume is 192.31 Å³ per cell. The theoretical density is 4.868 g cm⁻³.

Unit cell a=4.1573 b=4.1517 c=13.0920 alpha=80.92 beta=80.86 gamma=59.96
Element x y z (fractional)
1 Rh 0.8844 0.8151 0.4160
2 Rh 0.0550 0.9986 0.8913
3 Ca 0.3448 0.2876 0.0227
4 Ca 0.5946 0.5261 0.2847
5 La 0.7580 0.7003 0.7837
6 La 0.1815 0.1134 0.5236